{"formula": "SiPS3", "functional": "PBE", "state": "optimized geometry", "cell": [[4.5081, 0.0000, 0.0000], [0.0000, 4.5081, 0.0000], [0.0000, 0.0000, 4.5081]], "species": ["Si", "P", "S", "S", "S"], "fractional_positions": [[0.0000, 0.0000, 0.0000], [0.5000, 0.5000, 0.5000], [0.0000, 0.5000, 0.5000], [0.5000, 0.0000, 0.5000], [0.5000, 0.5000, 0.0000]], "relative_energy_mev_per_atom": 893.8, "dos_ef_per_ev_cell": 2.533, "crystal_system": "cubic", "raw_formation_energy_ev_per_atom": 0.59}

{"formula": "Tb4DyHo", "functional": "PBE", "state": "optimized geometry", "cell": [[4.3845, -7.4246, 0.0000], [4.3845, 7.4246, 0.0000], [-2.5353, 0.0000, 5.9260]], "species": ["Tb", "Tb", "Tb", "Tb", "Tb", "Tb", "Tb", "Tb", "Dy", "Dy", "Ho", "Ho"], "fractional_positions": [[0.1112, 0.7105, 0.9552], [0.1779, 0.4218, 0.6149], [0.2895, 0.8888, 0.5448], [0.4218, 0.1779, 0.1149], [0.5782, 0.8221, 0.8851], [0.7105, 0.1112, 0.4552], [0.8221, 0.5782, 0.3851], [0.8888, 0.2895, 0.0448], [0.4147, 0.5853, 0.2500], [0.5853, 0.4147, 0.7500], [0.0069, 0.9931, 0.2500], [0.9931, 0.0069, 0.7500]], "relative_energy_mev_per_atom": 130.7, "dos_ef_per_ev_cell": 18.847, "e_form_ev_per_atom": 0.15, "crystal_system": "monoclinic"}

{"formula": "SrCa3Pt2", "functional": "PBE", "state": "optimized geometry", "cell": [[4.5457, 0.0000, 0.0000], [0.0000, 9.2090, 0.0000], [0.0000, 0.0000, 7.8938]], "species": ["Sr", "Sr", "Ca", "Ca", "Ca", "Ca", "Ca", "Ca", "Pt", "Pt", "Pt", "Pt"], "fractional_positions": [[0.0000, 0.0823, 0.0000], [0.0000, 0.9177, 0.5000], [0.0000, 0.3216, 0.6197], [0.0000, 0.6784, 0.1197], [0.5000, 0.1893, 0.3304], [0.5000, 0.4208, 0.9474], [0.5000, 0.5792, 0.4474], [0.5000, 0.8107, 0.8304], [0.0000, 0.3761, 0.2406], [0.0000, 0.6239, 0.7406], [0.5000, 0.1308, 0.7093], [0.5000, 0.8692, 0.2093]], "dos_ef_per_ev_cell": 3.700, "e_form_ev_per_atom": -0.76, "crystal_system": "orthorhombic"}

{"formula": "TbTh2Rh", "functional": "PBE", "state": "optimized geometry", "cell": [[3.7952, 0.0000, 0.0000], [0.0000, 10.0068, 0.0000], [-1.8887, 0.0000, 5.9061]], "species": ["Tb", "Tb", "Th", "Th", "Th", "Th", "Rh", "Rh"], "fractional_positions": [[0.0833, 0.2500, 0.1672], [0.9167, 0.7500, 0.8328], [0.3631, 0.0588, 0.7257], [0.3631, 0.4412, 0.7257], [0.6369, 0.5588, 0.2743], [0.6369, 0.9412, 0.2743], [0.2079, 0.7500, 0.4161], [0.7921, 0.2500, 0.5839]], "relative_energy_mev_per_atom": 0.0, "dos_ef_per_ev_cell": 9.940, "e_form_ev_per_atom": -0.47, "crystal_system": "monoclinic"}

{"formula": "Ba4In2O7", "functional": "PBE", "state": "optimized geometry", "cell": [[3.0091, -14.4272, 0.0000], [3.0091, 14.4272, 0.0000], [0.0000, 0.0000, 6.0325]], "species": ["Ba", "Ba", "Ba", "Ba", "Ba", "Ba", "Ba", "Ba", "In", "In", "In", "In", "O", "O", "O", "O", "O", "O", "O", "O", "O", "O", "O", "O", "O", "O"], "fractional_positions": [[0.0472, 0.9528, 0.7500], [0.1815, 0.8185, 0.7500], [0.3176, 0.6824, 0.7500], [0.4483, 0.5517, 0.7500], [0.5517, 0.4483, 0.2500], [0.6824, 0.3176, 0.2500], [0.8185, 0.1815, 0.2500], [0.9528, 0.0472, 0.2500], [0.1222, 0.8778, 0.2500], [0.3916, 0.6084, 0.2500], [0.6084, 0.3916, 0.7500], [0.8778, 0.1222, 0.7500], [0.0448, 0.9552, 0.2500], [0.1321, 0.3845, 0.0078], [0.1321, 0.3845, 0.4922], [0.2003, 0.7997, 0.2500], [0.3845, 0.1321, 0.5078], [0.3845, 0.1321, 0.9922], [0.4640, 0.5360, 0.2500], [0.5360, 0.4640, 0.7500], [0.6155, 0.8679, 0.0078], [0.6155, 0.8679, 0.4922], [0.7997, 0.2003, 0.7500], [0.8679, 0.6155, 0.5078], [0.8679, 0.6155, 0.9922], [0.9552, 0.0448, 0.7500]], "relative_energy_mev_per_atom": 0.0, "crystal_system": "orthorhombic", "raw_formation_energy_ev_per_atom": -2.09}

{"formula": "Ca4AgHg2", "functional": "PBE", "state": "optimized geometry", "cell": [[-3.7582, 3.7582, 3.7509], [3.7582, -3.7582, 3.7509], [3.7582, 3.7582, -3.7509]], "species": ["Ca", "Ca", "Ca", "Ca", "Ag", "Hg", "Hg"], "fractional_positions": [[0.0000, 0.0000, 0.5000], [0.0000, 0.5000, 0.0000], [0.5000, 0.0000, 0.0000], [0.5000, 0.5000, 0.5000], [0.0000, 0.0000, 0.0000], [0.0000, 0.5000, 0.5000], [0.5000, 0.0000, 0.5000]], "dos_ef_per_ev_cell": 7.478, "e_form_ev_per_atom": -0.36, "crystal_system": "tetragonal"}

{"formula": "Tc3OsPd", "functional": "PBE", "state": "optimized geometry", "cell": [[4.6572, 0.0000, 0.0000], [0.0000, 4.6572, 0.0000], [0.0000, 0.0000, 4.6572]], "species": ["Tc", "Tc", "Tc", "Os", "Pd"], "fractional_positions": [[0.0000, 0.0000, 0.5000], [0.0000, 0.5000, 0.0000], [0.5000, 0.0000, 0.0000], [0.0000, 0.0000, 0.0000], [0.5000, 0.5000, 0.5000]], "relative_energy_mev_per_atom": 0.0, "dos_ef_per_ev_cell": 9.795, "e_form_ev_per_atom": 1.76, "crystal_system": "cubic"}

Density
In order: 2.81; 8.29; 6.01; 10.75; 5.65; 5.25; 9.71
Unit: g/cm3
Electronic total energy
In order: -4.05; -4.47; -4.06; -7.17; -5.78; -1.99; -7.75
Unit: eV/atom